This record from the Alexandria database describes Sr2TaCl after structural relaxation. The functional is PBE.

a = 6.675 Å, b = 6.675 Å, c = 6.675 Å
α = 147.85°, β = 113.68°, γ = 75.62°
Site moments in Bohr magnetons follow the coordinates.
Fractional positions:
Ta 0.250 0.750 0.500  1.83
Sr 0.960 0.960 0.000  0.04
Sr 0.540 0.540 0.000  0.04
Cl 0.750 0.250 0.500  0.04

* theoretical density: 4.6 Mg/m³
* SG: No. 71
* energy relative to the elements, uncorrected: 0.3422 eV/atom
* Fermi-level density of states: 0.828 states/eV/atom
* energy above the lowest structure with this stoichiometry: 0.5166 eV per atom


This record from the Alexandria database describes ScIrRh2 after structural relaxation. The functional is PBE.

a = 2.849 Å, b = 3.852 Å, c = 5.632 Å
α = 90.00°, β = 90.00°, γ = 90.00°
Fractional positions:
Sc 0.500 0.500 0.250
Ir 0.500 0.500 0.750
Rh 0.000 0.000 0.986
Rh 0.000 0.000 0.514

* theoretical density: 11.9 Mg/m³
* SG: No. 47
* formation energy: -418 meV/atom
* Fermi-level density of states: 1.179 states/eV/atom


This record from the Alexandria database describes Ho2Er3Bi2 after structural relaxation. The functional is PBE.

a = 4.309 Å, b = 6.400 Å, c = 8.514 Å
α = 106.82°, β = 90.00°, γ = 109.67°
Fractional positions:
Bi 0.177 0.355 0.186
Bi 0.823 0.645 0.814
Ho 0.120 0.239 0.764
Ho 0.880 0.761 0.236
Er 0.500 0.000 0.000
Er 0.374 0.748 0.557
Er 0.626 0.252 0.443

* theoretical density: 9.9 Mg/m³
* SG: No. 12
* formation energy: -437 meV/atom
* Fermi-level density of states: 0.791 states/eV/atom


This record from the Alexandria database describes LaTbScIn after structural relaxation. The functional is PBE.

a = 5.462 Å, b = 5.462 Å, c = 5.462 Å
α = 60.00°, β = 60.00°, γ = 60.00°
Site moments in Bohr magnetons follow the coordinates.
Fractional positions:
Tb 0.000 0.000 0.000  0.25
Sc 0.750 0.750 0.750  0.42
La 0.500 0.500 0.500  0.13
In 0.250 0.250 0.250  -0.02

* theoretical density: 6.6 Mg/m³
* SG: No. 216
* formation energy: -173 meV/atom
* Fermi-level density of states: 1.159 states/eV/atom


This record from the Alexandria database describes Dy3Ho2Sc5 after structural relaxation. The functional is PBE.

a = 9.587 Å, b = 9.360 Å, c = 9.012 Å
α = 99.58°, β = 103.50°, γ = 128.76°
Fractional positions:
Sc 0.941 0.787 0.058
Sc 0.926 0.431 0.129
Sc 0.171 0.517 0.558
Sc 0.645 0.368 0.703
Sc 0.829 0.483 0.442
Sc 0.789 0.774 0.371
Sc 0.355 0.632 0.297
Sc 0.074 0.569 0.871
Sc 0.059 0.213 0.942
Sc 0.211 0.226 0.629
Dy 0.543 0.363 0.032
Dy 0.768 0.109 0.563
Dy 0.097 0.896 0.774
Dy 0.903 0.104 0.226
Dy 0.232 0.891 0.437
Dy 0.457 0.637 0.968
Ho 0.636 0.708 0.679
Ho 0.364 0.292 0.321
Ho 0.471 0.010 0.179
Ho 0.529 0.990 0.821

* theoretical density: 6.2 Mg/m³
* SG: No. 2
* formation energy: 65 meV/atom
* Fermi-level density of states: 1.626 states/eV/atom


This record from the Alexandria database describes NaZnGe after structural relaxation. The functional is PBE.

a = 3.981 Å, b = 4.064 Å, c = 7.681 Å
α = 90.00°, β = 90.00°, γ = 90.00°
Fractional positions:
Na 0.250 0.750 0.138
Na 0.750 0.250 0.862
Ge 0.750 0.250 0.278
Ge 0.250 0.750 0.722
Zn 0.750 0.750 0.497
Zn 0.250 0.250 0.503

* theoretical density: 4.3 Mg/m³
* SG: No. 59
* formation energy: -92 meV/atom
* Fermi-level density of states: 0.266 states/eV/atom


This record from the Alexandria database describes Ti2GeRh after structural relaxation. The functional is PBE.

a = 2.900 Å, b = 2.900 Å, c = 7.331 Å
α = 90.00°, β = 90.00°, γ = 90.00°
Fractional positions:
Rh 0.500 0.500 0.000
Ti 0.000 0.000 0.760
Ti 0.000 0.000 0.240
Ge 0.500 0.500 0.500

* theoretical density: 7.3 Mg/m³
* SG: No. 123
* formation energy: -574 meV/atom
* Fermi-level density of states: 0.801 states/eV/atom


This record from the Alexandria database describes SrAcPd after structural relaxation. The functional is PBE.

a = 3.856 Å, b = 3.856 Å, c = 7.545 Å
α = 104.81°, β = 104.81°, γ = 90.00°
Fractional positions:
Sr 0.034 0.034 0.067
Pd 0.677 0.677 0.354
Ac 0.290 0.290 0.579

* theoretical density: 6.7 Mg/m³
* SG: No. 107
* formation energy: -432 meV/atom
* Fermi-level density of states: 1.013 states/eV/atom
* energy above the lowest structure with this stoichiometry: 0.1052 eV per atom


This record from the Alexandria database describes La4Sm3Te8 after structural relaxation. The functional is PBE.

a = 9.040 Å, b = 9.011 Å, c = 9.011 Å
α = 89.98°, β = 120.13°, γ = 120.13°
Fractional positions:
Sm 0.500 0.500 0.000
Sm 0.500 0.000 0.500
Sm 0.500 0.500 0.500
La 0.000 0.000 0.500
La 0.000 0.000 0.000
La 0.500 0.000 0.000
La 0.000 0.500 0.000
Te 0.500 0.253 0.747
Te 0.500 0.747 0.253
Te 0.000 0.743 0.257
Te 0.485 0.740 0.740
Te 0.000 0.257 0.743
Te 0.006 0.260 0.260
Te 0.515 0.260 0.260
Te 0.994 0.740 0.740

* theoretical density: 6.5 Mg/m³
* SG: No. 12
* energy relative to the elements, uncorrected: -1.5220 eV/atom
* Fermi-level density of states: 0.568 states/eV/atom
* energy above the lowest structure with this stoichiometry: 0.0000 eV per atom


This record from the Alexandria database describes Be5Tc after structural relaxation. The functional is PBE.

a = 4.251 Å, b = 4.251 Å, c = 4.251 Å
α = 60.00°, β = 60.00°, γ = 60.00°
Fractional positions:
Be 0.250 0.250 0.250
Be 0.627 0.627 0.627
Be 0.627 0.627 0.120
Be 0.627 0.120 0.627
Be 0.120 0.627 0.627
Tc 0.000 0.000 0.000

* theoretical density: 4.4 Mg/m³
* SG: No. 216
* formation energy: -94 meV/atom
* Fermi-level density of states: 0.265 states/eV/atom
* energy above the lowest structure with this stoichiometry: 0.0848 eV per atom


This record from the Alexandria database describes HfPaTeN2 after structural relaxation. The functional is PBE.

a = 3.965 Å, b = 6.721 Å, c = 7.609 Å
α = 108.57°, β = 90.00°, γ = 90.00°
Site moments in Bohr magnetons follow the coordinates.
Fractional positions:
Pa 0.250 0.690 0.932  0.58
Pa 0.750 0.310 0.068  0.58
Hf 0.250 0.636 0.409  0.04
Hf 0.750 0.364 0.591  0.04
N 0.750 0.522 0.884  -0.02
N 0.250 0.502 0.626  -0.01
N 0.750 0.498 0.374  -0.01
N 0.250 0.478 0.116  -0.02
Te 0.250 0.046 0.726  -0.01
Te 0.750 0.954 0.274  -0.01

* theoretical density: 9.8 Mg/m³
* SG: No. 11
* energy relative to the elements, uncorrected: -1.5085 eV/atom
* Fermi-level density of states: 0.618 states/eV/atom


This record from the Alexandria database describes ZrInSn after structural relaxation. The functional is PBE.

a = 3.022 Å, b = 5.152 Å, c = 5.152 Å
α = 120.00°, β = 90.00°, γ = 90.00°
Fractional positions:
In 0.834 0.000 0.000
Sn 0.833 0.667 0.333
Zr 0.333 0.333 0.667

* theoretical density: 7.8 Mg/m³
* SG: No. 187
* formation energy: -84 meV/atom
* Fermi-level density of states: 0.833 states/eV/atom
* energy above the lowest structure with this stoichiometry: 0.2690 eV per atom


This record from the Alexandria database describes BaLi3Cr after structural relaxation. The functional is PBE.

a = 5.133 Å, b = 5.133 Å, c = 5.133 Å
α = 90.00°, β = 90.00°, γ = 90.00°
Site moments in Bohr magnetons follow the coordinates.
Fractional positions:
Cr 0.500 0.500 0.500  -0.76
Ba 0.000 0.000 0.000  0.20
Li 0.000 0.500 0.000  0.02
Li 0.000 0.000 0.500  0.02
Li 0.500 0.000 0.000  0.03

* theoretical density: 2.6 Mg/m³
* SG: No. 221
* formation energy: 1828 meV/atom
* Fermi-level density of states: 4.194 states/eV/atom
* energy above the lowest structure with this stoichiometry: 1.3689 eV per atom


This record from the Alexandria database describes PmYScCd after structural relaxation. The functional is PBE.

a = 3.549 Å, b = 3.549 Å, c = 8.819 Å
α = 90.00°, β = 90.00°, γ = 90.00°
Fractional positions:
Pm 0.000 0.000 0.087
Cd 0.000 0.000 0.552
Y 0.500 0.500 0.792
Sc 0.500 0.500 0.354

* theoretical density: 5.9 Mg/m³
* SG: No. 99
* formation energy: -135 meV/atom
* Fermi-level density of states: 1.128 states/eV/atom
* energy above the lowest structure with this stoichiometry: 0.0000 eV per atom


This record from the Alexandria database describes AlSi2Te after structural relaxation. The functional is PBE.

a = 3.520 Å, b = 4.627 Å, c = 6.162 Å
α = 50.71°, β = 90.00°, γ = 90.00°
Fractional positions:
Te 0.500 0.500 0.500
Al 0.000 0.000 0.500
Si 0.500 0.500 0.000
Si 0.000 0.000 0.000

* theoretical density: 4.5 Mg/m³
* SG: No. 10
* energy relative to the elements, uncorrected: 0.5094 eV/atom
* Fermi-level density of states: 0.355 states/eV/atom
* energy above the lowest structure with this stoichiometry: 0.3753 eV per atom


This record from the Alexandria database describes CaTl2CF after structural relaxation. The functional is PBE.

a = 5.241 Å, b = 4.443 Å, c = 5.241 Å
α = 90.00°, β = 90.00°, γ = 90.00°
Site moments in Bohr magnetons follow the coordinates.
Fractional positions:
Tl 0.000 0.000 0.500  0.01
Tl 0.500 0.000 0.000  0.00
Ca 0.000 0.500 0.000  -0.02
F 0.000 0.000 0.000  0.00
C 0.500 0.500 0.500  0.56

* theoretical density: 6.5 Mg/m³
* SG: No. 123
* energy relative to the elements, uncorrected: 0.2258 eV/atom
* Fermi-level density of states: 0.305 states/eV/atom
* energy above the lowest structure with this stoichiometry: 0.0000 eV per atom


This record from the Alexandria database describes NaAcTcO4 after structural relaxation. The functional is PBE.

a = 6.427 Å, b = 6.952 Å, c = 7.740 Å
α = 123.83°, β = 90.00°, γ = 117.53°
Site moments in Bohr magnetons follow the coordinates.
Fractional positions:
O 0.245 0.490 0.671  0.10
O 0.232 0.927 0.714  0.09
O 0.755 0.510 0.681  0.10
O 0.755 0.510 0.329  0.10
O 0.768 0.073 0.286  0.09
O 0.695 0.927 0.714  0.09
O 0.245 0.490 0.319  0.10
O 0.305 0.073 0.286  0.09
Ac 0.500 0.000 0.500  0.03
Ac 0.500 0.000 0.000  0.03
Na 0.896 0.792 0.146  0.00
Na 0.104 0.208 0.854  0.00
Tc 0.000 0.500 0.500  2.28
Tc 0.500 0.500 0.500  2.28

* theoretical density: 5.7 Mg/m³
* SG: No. 74
* energy relative to the elements, uncorrected: -2.0163 eV/atom
* Fermi-level density of states: 0.122 states/eV/atom


This record from the Alexandria database describes CaLaSmMg after structural relaxation. The functional is PBE.

a = 5.732 Å, b = 5.732 Å, c = 5.732 Å
α = 60.00°, β = 60.00°, γ = 60.00°
Fractional positions:
Mg 0.000 0.000 0.000
Ca 0.500 0.500 0.500
Sm 0.250 0.250 0.250
La 0.750 0.750 0.750

* theoretical density: 4.4 Mg/m³
* SG: No. 216
* formation energy: 32 meV/atom
* Fermi-level density of states: 1.143 states/eV/atom
* energy above the lowest structure with this stoichiometry: 0.0506 eV per atom


This record from the Alexandria database describes NiMoOs2 after structural relaxation. The functional is PBE.

a = 8.949 Å, b = 8.949 Å, c = 8.949 Å
α = 17.46°, β = 17.46°, γ = 17.46°
Fractional positions:
Ni 0.749 0.749 0.749
Os 0.252 0.252 0.252
Os 0.002 0.002 0.002
Mo 0.498 0.498 0.498

* theoretical density: 15.8 Mg/m³
* SG: No. 160
* formation energy: 183 meV/atom
* Fermi-level density of states: 0.955 states/eV/atom
* energy above the lowest structure with this stoichiometry: 0.1456 eV per atom


This record from the Alexandria database describes SrRh2Au after structural relaxation. The functional is PBE.

a = 4.520 Å, b = 4.520 Å, c = 9.999 Å
α = 76.94°, β = 76.94°, γ = 90.00°
Fractional positions:
Au 0.000 0.000 0.000
Au 0.750 0.250 0.500
Rh 0.875 0.021 0.750
Rh 0.979 0.625 0.250
Rh 0.771 0.125 0.250
Rh 0.375 0.229 0.750
Sr 0.250 0.750 0.500
Sr 0.500 0.500 0.000

* theoretical density: 8.4 Mg/m³
* SG: No. 122
* formation energy: 67 meV/atom
* Fermi-level density of states: 0.452 states/eV/atom